! PBE-GGA SrPuRe, relaxed; values from VASP
! Size of the total moment in μB per cell: 4.6
! Total energy in eV per atom: -8.48
&SYSTEM
  ibrav = 0, nat = 3, ntyp = 3
/
ATOMIC_SPECIES
Sr 87.62 Sr.upf
Pu 244.00 Pu.upf
Re 186.21 Re.upf
CELL_PARAMETERS angstrom
0.000 3.464 3.464
3.464 0.000 3.464
3.464 3.464 0.000
ATOMIC_POSITIONS angstrom
Sr 0.000 0.000 0.000
Pu 3.464 3.464 3.464
Re 1.732 1.732 1.732

=====

! PBE-GGA Pr2SmSi4Pd2Au2, relaxed; values from VASP
! Polymorph energy (0 for the lowest one) in eV per atom: 0.060
! Size of the total moment in μB per cell: 0.0
&SYSTEM
  ibrav = 0, nat = 11, ntyp = 5
/
ATOMIC_SPECIES
Pr 140.91 Pr.upf
Sm 150.36 Sm.upf
Si 28.09 Si.upf
Pd 106.42 Pd.upf
Au 196.97 Au.upf
CELL_PARAMETERS angstrom
-2.116 2.140 12.470
2.116 -2.140 12.470
2.116 2.140 -12.470
ATOMIC_POSITIONS angstrom
Pr 0.000 0.000 3.632
Pr 0.000 0.000 21.308
Sm 0.000 2.140 0.000
Si 2.116 0.000 1.186
Si 0.000 0.000 7.739
Si 0.000 0.000 17.202
Si 0.000 2.140 11.285
Pd 0.000 0.000 10.143
Pd 0.000 0.000 14.798
Au 2.116 0.000 6.260
Au 0.000 2.140 6.210